Ca2DyH6 after structural relaxation, computed with GGA-PBE.

Values from the calculation:
space group = No. 225
energy = -3.34 eV per atom

abc: 5.6101 5.6101 5.6101
angles: 60.00 60.00 60.00
Sites, in units of the cell vectors:
Ca: 0.7500 0.7500 0.7500
Ca: 0.2500 0.2500 0.2500
Dy: 0.0000 0.0000 0.0000
H: 0.2673 0.7327 0.7327
H: 0.7327 0.7327 0.2673
H: 0.7327 0.2673 0.7327
H: 0.7327 0.2673 0.2673
H: 0.2673 0.2673 0.7327
H: 0.2673 0.7327 0.2673



Re2Ir after structural relaxation, computed with GGA-PBE.

Values from the calculation:
space group = No. 189
distance to the lowest polymorph of the same formula = 667 meV per atom

abc: 6.5293 6.5293 3.8659
angles: 90.00 90.00 120.00
Sites, in units of the cell vectors:
Re: 0.0000 0.2550 0.0000
Re: 0.0000 0.5980 0.5000
Re: 0.2550 0.0000 0.0000
Re: 0.7450 0.7450 0.0000
Re: 0.5980 0.0000 0.5000
Re: 0.4020 0.4020 0.5000
Ir: 0.0000 0.0000 0.5000
Ir: 0.3333 0.6667 0.0000
Ir: 0.6667 0.3333 0.0000



MgRe2Os after structural relaxation, computed with GGA-PBE.

Values from the calculation:
space group = No. 123
energy = -9.16 eV per atom

abc: 2.7644 2.7644 8.1510
angles: 90.00 90.00 90.00
Sites, in units of the cell vectors:
Mg: 0.5000 0.5000 0.2500
Os: 0.5000 0.5000 0.7500
Re: 0.0000 0.0000 0.9814
Re: 0.0000 0.0000 0.5186



Ba2AgTe2 after structural relaxation, computed with GGA-PBE.

Values from the calculation:
uncorrected formation energy = -1.076 eV per atom
space group = No. 127

abc: 9.1765 9.1765 4.5338
angles: 90.00 90.00 90.00
Sites, in units of the cell vectors:
Te: 0.3449 0.8449 0.0000
Te: 0.8449 0.6551 0.0000
Te: 0.6551 0.1551 0.0000
Te: 0.1551 0.3449 0.0000
Ba: 0.1527 0.6527 0.5000
Ba: 0.6527 0.8473 0.5000
Ba: 0.8473 0.3473 0.5000
Ba: 0.3473 0.1527 0.5000
Ag: 0.0000 0.0000 0.0000
Ag: 0.5000 0.5000 0.0000



Pu2Ni3As4Pd after structural relaxation, computed with GGA-PBE.

Values from the calculation:
space group = No. 115
energy = -7.63 eV per atom

abc: 4.2339 4.2339 9.5101
angles: 90.00 90.00 90.00
Each line ends with the local moment (μB).
Sites, in units of the cell vectors:
Pu: 0.5000 0.0000 0.2417  5.18
Pu: 0.0000 0.5000 0.7583  5.18
Ni: 0.0000 0.0000 0.5000  -0.03
Ni: 0.5000 0.0000 0.8866  0.05
Ni: 0.0000 0.5000 0.1134  0.05
As: 0.5000 0.5000 0.0000  -0.03
As: 0.0000 0.0000 0.0000  -0.03
As: 0.5000 0.0000 0.6432  -0.04
As: 0.0000 0.5000 0.3568  -0.04
Pd: 0.5000 0.5000 0.5000  -0.02



ZrReRu2 after structural relaxation, computed with GGA-PBE.

Values from the calculation:
space group = No. 160
distance to the lowest polymorph of the same formula = 294 meV per atom

abc: 9.5462 9.5462 9.5462
angles: 16.87 16.87 16.87
Sites, in units of the cell vectors:
Re: 0.7417 0.7417 0.7417
Ru: 0.0000 0.0000 0.0000
Ru: 0.2569 0.2569 0.2569
Zr: 0.5014 0.5014 0.5014